! HfTaI2N PBE optimized geometry; values from VASP
! Fermi-level density of states   0.557 states/eV/atom
! Size of the total moment   3.1 μB per formula unit
! Energy above the lowest structure with this stoichiometry   171 meV per atom
! Formation energy (no corrections)   72.0 kJ/mol of atoms
&SYSTEM
  ibrav = 0, nat = 5, ntyp = 4
/
ATOMIC_SPECIES
Hf 178.49 Hf.upf
Ta 180.95 Ta.upf
I 126.90 I.upf
N 14.01 N.upf
ATOMIC_POSITIONS angstrom
Hf 0.000 0.000 0.000
Ta 2.908 2.908 1.950
I 0.000 2.908 0.000
I 2.908 0.000 0.000
N 0.000 0.000 1.950
CELL_PARAMETERS angstrom
5.816 0.000 0.000
0.000 5.816 0.000
0.000 0.000 3.899

---

! HfTcIN2 PBE optimized geometry; values from VASP
! Fermi-level density of states   0.777 states/eV/atom
! Size of the total moment   3.6 μB per formula unit
! Energy above the lowest structure with this stoichiometry   0 meV per atom
! Formation energy (no corrections)   88.5 kJ/mol of atoms
&SYSTEM
  ibrav = 0, nat = 5, ntyp = 4
/
ATOMIC_SPECIES
Hf 178.49 Hf.upf
Tc 98.00 Tc.upf
I 126.90 I.upf
N 14.01 N.upf
ATOMIC_POSITIONS angstrom
Hf 0.000 0.000 0.000
Tc 2.075 2.075 2.973
I 0.000 0.000 2.973
N 0.000 2.075 0.000
N 2.075 0.000 0.000
CELL_PARAMETERS angstrom
4.151 0.000 0.000
0.000 4.151 0.000
0.000 0.000 5.945

---

! HfTcIN2 PBE optimized geometry; values from VASP
! Fermi-level density of states   0.664 states/eV/atom
! Size of the total moment   0.0 μB per formula unit
! Energy above the lowest structure with this stoichiometry   83 meV per atom
! Formation energy (no corrections)   96.4 kJ/mol of atoms
&SYSTEM
  ibrav = 0, nat = 5, ntyp = 4
/
ATOMIC_SPECIES
Hf 178.49 Hf.upf
Tc 98.00 Tc.upf
I 126.90 I.upf
N 14.01 N.upf
ATOMIC_POSITIONS angstrom
Hf 0.000 0.000 0.000
Tc 1.997 1.997 2.661
I 1.997 1.997 0.000
N 0.000 1.997 2.661
N 1.997 0.000 2.661
CELL_PARAMETERS angstrom
3.993 0.000 0.000
0.000 3.993 0.000
0.000 0.000 5.321

---

! HfTe2IN PBE optimized geometry; values from VASP
! Fermi-level density of states   0.815 states/eV/atom
! Size of the total moment   0.2 μB per formula unit
! Energy above the lowest structure with this stoichiometry   1185 meV per atom
! Formation energy (no corrections)   123.4 kJ/mol of atoms
&SYSTEM
  ibrav = 0, nat = 5, ntyp = 4
/
ATOMIC_SPECIES
Hf 178.49 Hf.upf
Te 127.60 Te.upf
I 126.90 I.upf
N 14.01 N.upf
ATOMIC_POSITIONS angstrom
Hf 0.000 0.000 0.000
Te 0.000 2.916 1.950
Te 2.916 0.000 1.950
I 2.916 2.916 1.950
N 2.916 2.916 0.000
CELL_PARAMETERS angstrom
5.832 0.000 0.000
0.000 5.832 0.000
0.000 0.000 3.901

---

! HfTeI2N PBE optimized geometry; values from VASP
! Fermi-level density of states   0.705 states/eV/atom
! Size of the total moment   0.0 μB per formula unit
! Energy above the lowest structure with this stoichiometry   0 meV per atom
! Formation energy (no corrections)   3.7 kJ/mol of atoms
&SYSTEM
  ibrav = 0, nat = 5, ntyp = 4
/
ATOMIC_SPECIES
Hf 178.49 Hf.upf
Te 127.60 Te.upf
I 126.90 I.upf
N 14.01 N.upf
ATOMIC_POSITIONS angstrom
Hf 0.000 0.000 0.000
Te 2.987 2.987 1.985
I 0.000 2.987 0.000
I 2.987 0.000 0.000
N 0.000 0.000 1.985
CELL_PARAMETERS angstrom
5.975 0.000 0.000
0.000 5.975 0.000
0.000 0.000 3.970

---

! HfTe2IN PBE optimized geometry; values from VASP
! Fermi-level density of states   0.901 states/eV/atom
! Size of the total moment   2.9 μB per formula unit
! Energy above the lowest structure with this stoichiometry   635 meV per atom
! Formation energy (no corrections)   70.3 kJ/mol of atoms
&SYSTEM
  ibrav = 0, nat = 5, ntyp = 4
/
ATOMIC_SPECIES
Hf 178.49 Hf.upf
Te 127.60 Te.upf
I 126.90 I.upf
N 14.01 N.upf
ATOMIC_POSITIONS angstrom
Hf 0.000 0.000 0.000
Te 0.000 2.775 0.000
Te 2.775 0.000 0.000
I 0.000 0.000 2.915
N 2.775 2.775 2.915
CELL_PARAMETERS angstrom
5.550 0.000 0.000
0.000 5.550 0.000
0.000 0.000 5.830

---

! HfTeI2N PBE optimized geometry; values from VASP
! Fermi-level density of states   1.159 states/eV/atom
! Size of the total moment   0.0 μB per formula unit
! Energy above the lowest structure with this stoichiometry   930 meV per atom
! Formation energy (no corrections)   93.4 kJ/mol of atoms
&SYSTEM
  ibrav = 0, nat = 5, ntyp = 4
/
ATOMIC_SPECIES
Hf 178.49 Hf.upf
Te 127.60 Te.upf
I 126.90 I.upf
N 14.01 N.upf
ATOMIC_POSITIONS angstrom
Hf 0.000 0.000 0.000
Te 2.438 2.438 0.000
I 0.000 2.438 2.448
I 2.438 0.000 2.448
N 2.438 2.438 2.448
CELL_PARAMETERS angstrom
4.876 0.000 0.000
0.000 4.876 0.000
0.000 0.000 4.895

---

! HfTeI2N PBE optimized geometry; values from VASP
! Fermi-level density of states   1.178 states/eV/atom
! Size of the total moment   1.7 μB per formula unit
! Energy above the lowest structure with this stoichiometry   1088 meV per atom
! Formation energy (no corrections)   108.6 kJ/mol of atoms
&SYSTEM
  ibrav = 0, nat = 5, ntyp = 4
/
ATOMIC_SPECIES
Hf 178.49 Hf.upf
Te 127.60 Te.upf
I 126.90 I.upf
N 14.01 N.upf
ATOMIC_POSITIONS angstrom
Hf 0.000 0.000 0.000
Te 3.110 3.110 1.963
I 0.000 3.110 1.963
I 3.110 0.000 1.963
N 3.110 3.110 0.000
CELL_PARAMETERS angstrom
6.221 0.000 0.000
0.000 6.221 0.000
0.000 0.000 3.927

---

! HfTeI2N PBE optimized geometry; values from VASP
! Fermi-level density of states   0.205 states/eV/atom
! Size of the total moment   3.0 μB per formula unit
! Energy above the lowest structure with this stoichiometry   573 meV per atom
! Formation energy (no corrections)   58.9 kJ/mol of atoms
&SYSTEM
  ibrav = 0, nat = 5, ntyp = 4
/
ATOMIC_SPECIES
Hf 178.49 Hf.upf
Te 127.60 Te.upf
I 126.90 I.upf
N 14.01 N.upf
ATOMIC_POSITIONS angstrom
Hf 0.000 0.000 0.000
Te 0.000 0.000 2.753
I 0.000 2.901 0.000
I 2.901 0.000 0.000
N 2.901 2.901 2.753
CELL_PARAMETERS angstrom
5.803 0.000 0.000
0.000 5.803 0.000
0.000 0.000 5.506

---

! HfTe2IN PBE optimized geometry; values from VASP
! Fermi-level density of states   1.262 states/eV/atom
! Size of the total moment   0.0 μB per formula unit
! Energy above the lowest structure with this stoichiometry   0 meV per atom
! Formation energy (no corrections)   9.0 kJ/mol of atoms
&SYSTEM
  ibrav = 0, nat = 5, ntyp = 4
/
ATOMIC_SPECIES
Hf 178.49 Hf.upf
Te 127.60 Te.upf
I 126.90 I.upf
N 14.01 N.upf
ATOMIC_POSITIONS angstrom
Hf 0.000 0.000 0.000
Te 0.000 2.916 0.000
Te 2.916 0.000 0.000
I 2.916 2.916 2.011
N 0.000 0.000 2.011
CELL_PARAMETERS angstrom
5.832 0.000 0.000
0.000 5.832 0.000
0.000 0.000 4.022

---

! HfTe2IN PBE optimized geometry; values from VASP
! Fermi-level density of states   0.715 states/eV/atom
! Size of the total moment   0.4 μB per formula unit
! Energy above the lowest structure with this stoichiometry   647 meV per atom
! Formation energy (no corrections)   71.5 kJ/mol of atoms
&SYSTEM
  ibrav = 0, nat = 5, ntyp = 4
/
ATOMIC_SPECIES
Hf 178.49 Hf.upf
Te 127.60 Te.upf
I 126.90 I.upf
N 14.01 N.upf
ATOMIC_POSITIONS angstrom
Hf 0.000 0.000 0.000
Te 0.000 2.444 2.334
Te 2.444 0.000 2.334
I 2.444 2.444 0.000
N 2.444 2.444 2.334
CELL_PARAMETERS angstrom
4.889 0.000 0.000
0.000 4.889 0.000
0.000 0.000 4.669

---

! HfTiIN2 PBE optimized geometry; values from VASP
! Fermi-level density of states   0.801 states/eV/atom
! Size of the total moment   0.3 μB per formula unit
! Energy above the lowest structure with this stoichiometry   55 meV per atom
! Formation energy (no corrections)   52.1 kJ/mol of atoms
&SYSTEM
  ibrav = 0, nat = 5, ntyp = 4
/
ATOMIC_SPECIES
Hf 178.49 Hf.upf
Ti 47.87 Ti.upf
I 126.90 I.upf
N 14.01 N.upf
ATOMIC_POSITIONS angstrom
Hf 0.000 0.000 0.000
Ti 2.014 2.014 2.623
I 2.014 2.014 0.000
N 0.000 2.014 2.623
N 2.014 0.000 2.623
CELL_PARAMETERS angstrom
4.028 0.000 0.000
0.000 4.028 0.000
0.000 0.000 5.246